1.
A relaxed ScSe3 crystal, computed with GGA-PBE.

Geometry as POSCAR:
```
ScSe3
1.0
-1.468 -3.906 1.282
2.426 -1.922 -3.077
3.318 -0.322 2.817
Se Sc
3 1
Direct
0.500 0.000 0.500
0.500 0.500 0.000
0.000 0.500 0.500
0.000 0.000 0.000
```

- N(E_F): 2.38 states/eV per cell
- Crystal system: cubic
- VASP energy: -18.13 eV per cell
- Formation energy (no corrections): -0.336 eV/atom
- Magnetization: 0.0 μB per cell
- SG: Pm-3m (221)

2.
A relaxed NaSr3Ca4 crystal, computed with GGA-PBE.

Geometry as POSCAR:
```
NaSr3Ca4
1.0
4.095 0.000 0.000
0.000 4.095 0.000
0.000 0.000 21.884
Na Sr Ca
1 3 4
Direct
0.500 0.500 0.000
0.500 0.500 0.239
0.500 0.500 0.500
0.500 0.500 0.761
0.000 0.000 0.630
0.000 0.000 0.108
0.000 0.000 0.892
0.000 0.000 0.370
```

- N(E_F): 9.60 states/eV per cell
- Crystal system: tetragonal
- Formation enthalpy at 0 K: 0.0320 eV per atom
- VASP energy: -14.11 eV per cell
- Relative energy among the computed polymorphs: 0.00 eV per formula unit
- Magnetization: 0.0 μB per cell
- SG: P4/mmm (123)

3.
A relaxed NbVS2N crystal, computed with GGA-PBE.

Geometry as POSCAR:
```
NbVS2N
1.0
-3.922 -2.919 0.183
1.313 -2.031 -4.253
2.066 -2.655 1.906
Nb N V S
1 1 1 2
Direct
0.000 0.000 0.000
0.000 0.000 0.500
0.500 0.500 0.500
0.000 0.500 0.000
0.500 0.000 0.000
```

- N(E_F): 8.02 states/eV per cell
- Crystal system: tetragonal
- VASP energy: -34.13 eV per cell
- Relative energy among the computed polymorphs: 1.42 eV per formula unit
- Formation energy (no corrections): 0.327 eV/atom
- Magnetization: 0.4 μB per cell
- SG: P4/mmm (123)